PaTi2MnO8, relaxed, DFT PBE+U; space group = I-4m2; total energy = -8.77 eV per atom
1.0
-1.165 3.299 4.732
-4.980 -2.195 -2.239
3.519 -4.446 1.578
O Mn Ti Pa
8 1 2 1
Cartesian
-1.785 -1.438 4.103
-1.193 1.250 4.370
-3.704 0.523 2.935
1.247 -0.732 4.597
-1.114 -3.470 2.024
1.830 -2.780 2.510
-2.265 -0.955 0.672
0.294 -0.268 2.043
0.000 0.000 0.000
-0.359 -0.297 3.778
-3.072 0.552 1.246
-2.267 -3.044 0.292